# PBE DySc2Ni2, relaxed
data_DySc2Ni2
_chemical_formula_sum 'Dy2 Sc4 Ni4'
_cell_length_a 3.574
_cell_length_b 6.696
_cell_length_c 8.588
_cell_angle_alpha 90.00
_cell_angle_beta 90.00
_cell_angle_gamma 105.48
_space_group_name_H-M_alt 'P 1'
_space_group_IT_number 1
_space_group_name_Hall 'P 1'
loop_
_atom_site_label
_atom_site_type_symbol
_atom_site_fract_x
_atom_site_fract_y
_atom_site_fract_z
Dy1 Dy 0.411 0.822 0.340
Ni1 Ni 0.952 0.905 0.020
Ni2 Ni 0.048 0.095 0.520
Sc1 Sc 0.314 0.629 0.974
Ni3 Ni 0.236 0.472 0.682
Sc2 Sc 0.886 0.772 0.688
Dy2 Dy 0.589 0.178 0.840
Sc3 Sc 0.686 0.371 0.474
Sc4 Sc 0.114 0.228 0.188
Ni4 Ni 0.764 0.528 0.182
# space-group type: Cmc2_1 (36)
# calculated volume: 19.807 Å³/atom
# DOS at the Fermi energy: 10.7 states/eV per cell
# final energy: -0.22436 hartree per atom

# PBE V2CoH2, relaxed
data_V2CoH2
_chemical_formula_sum 'V2 Co1 H2'
_cell_length_a 2.680
_cell_length_b 2.680
_cell_length_c 6.110
_cell_angle_alpha 77.33
_cell_angle_beta 77.33
_cell_angle_gamma 90.00
_space_group_name_H-M_alt 'P 1'
_space_group_IT_number 1
_space_group_name_Hall 'P 1'
loop_
_atom_site_label
_atom_site_type_symbol
_atom_site_fract_x
_atom_site_fract_y
_atom_site_fract_z
H1 H 0.750 0.250 0.500
V1 V 0.645 0.645 0.710
Co1 Co 0.000 0.000 0.000
V2 V 0.355 0.355 0.290
H2 H 0.250 0.750 0.500
# space-group type: I4/mmm (139)
# calculated volume: 8.345 Å³/atom
# DOS at the Fermi energy: 1.9 states/eV per cell
# final energy: -0.24151 hartree per atom